Record 1
Compound: CrBi2W
Source: the Alexandria database
Functional: PBE-GGA
Structure: optimized geometry Values from VASP.

- ρ: 8.2 g cm⁻³
- Magnetization: 1.5000 μB per atom
- Calculated total energy: -6.24 eV per atom
- DFT formation energy: 1.341 eV/atom
- Distance to the lowest polymorph of the same formula: 486 meV/atom

Structure (Quantum ESPRESSO input):
```
&SYSTEM
  ibrav = 0, nat = 8, ntyp = 3
/
ATOMIC_SPECIES
Cr 52.00 Cr.upf
Bi 208.98 Bi.upf
W 183.84 W.upf
ATOMIC_POSITIONS crystal
Cr 0.000 0.000 0.000
Cr 0.750 0.250 0.500
Bi 0.135 0.625 0.010
Bi 0.375 0.385 0.510
Bi 0.615 0.125 0.990
Bi 0.875 0.865 0.490
W 0.250 0.750 0.500
W 0.500 0.500 0.000
CELL_PARAMETERS angstrom
-3.313 3.313 6.032
3.313 -3.313 6.032
3.313 3.313 -6.032
```

Record 2
Compound: CrBiW3
Source: the Alexandria database
Functional: PBE-GGA
Structure: optimized geometry Values from VASP.

- ρ: 11.1 g cm⁻³
- Magnetization: 0.2325 μB per atom
- Calculated total energy: -6.91 eV per atom
- DFT formation energy: 3.568 eV/atom
- Distance to the lowest polymorph of the same formula: 2058 meV/atom

Structure (Quantum ESPRESSO input):
```
&SYSTEM
  ibrav = 0, nat = 5, ntyp = 3
/
ATOMIC_SPECIES
Cr 52.00 Cr.upf
Bi 208.98 Bi.upf
W 183.84 W.upf
ATOMIC_POSITIONS crystal
Cr 0.000 0.000 0.000
Bi 0.500 0.500 0.500
W 0.000 0.500 0.500
W 0.500 0.000 0.500
W 0.500 0.500 0.000
CELL_PARAMETERS angstrom
4.957 0.000 0.000
0.000 4.957 0.000
0.000 0.000 4.957
```

Record 3
Compound: CrBiW2
Source: the Alexandria database
Functional: PBE-GGA
Structure: optimized geometry Values from VASP.

- ρ: 13.5 g cm⁻³
- Magnetization: 0.8173 μB per atom
- Calculated total energy: -8.72 eV per atom
- DFT formation energy: 1.133 eV/atom

Structure (Quantum ESPRESSO input):
```
&SYSTEM
  ibrav = 0, nat = 8, ntyp = 3
/
ATOMIC_SPECIES
Cr 52.00 Cr.upf
Bi 208.98 Bi.upf
W 183.84 W.upf
ATOMIC_POSITIONS crystal
Cr 0.000 0.000 0.000
Cr 0.750 0.250 0.500
Bi 0.250 0.750 0.500
Bi 0.500 0.500 0.000
W 0.098 0.625 0.973
W 0.375 0.348 0.473
W 0.652 0.125 0.027
W 0.875 0.902 0.527
CELL_PARAMETERS angstrom
-1.954 1.954 10.122
1.954 -1.954 10.122
1.954 1.954 -10.122
```

Record 4
Compound: YCrBi3
Source: the Alexandria database
Functional: PBE-GGA
Structure: optimized geometry Values from VASP.

- ρ: 6.5 g cm⁻³
- Magnetization: 0.1946 μB per atom
- Calculated total energy: -4.23 eV per atom
- DFT formation energy: 1.316 eV/atom
- Distance to the lowest polymorph of the same formula: 1059 meV/atom

Structure (Quantum ESPRESSO input):
```
&SYSTEM
  ibrav = 0, nat = 5, ntyp = 3
/
ATOMIC_SPECIES
Y 88.91 Y.upf
Cr 52.00 Cr.upf
Bi 208.98 Bi.upf
ATOMIC_POSITIONS crystal
Y 0.000 0.000 0.000
Cr 0.500 0.500 0.500
Bi 0.000 0.000 0.500
Bi 0.000 0.500 0.000
Bi 0.500 0.000 0.000
CELL_PARAMETERS angstrom
5.817 0.000 0.000
0.000 5.817 0.000
0.000 0.000 5.817
```

Among the records above, which one has the lowest calculated total energy?
CrBiW2

Number 3 is which compound?
CrBiW2

Which value of ρ does entry 2 give?
11.1 g cm⁻³

Look up the ρ of the fourth one.
6.5 g cm⁻³